Compound: NaLaDy2Se4
Source: Alexandria
Functional: PBE
Structure: relaxed

Summary:
- Raw formation energy: -1.788 eV/atom
- Final energy: -43.695 eV/cell
- Density of states at the Fermi level: 0.335 states/eV/atom
- SG: P2/m (10)

a b c (Å): 4.1335 7.1948 7.3285
angles (deg): 108.88 90.00 90.00
Last column: nearest neighbours and their distance in Å.
Fractional positions:
Se1 0.0000 0.2476 0.7361  3 Dy 2.89-2.91, 2 Na 3.01, 1 La 3.02
Se2 0.0000 0.7524 0.2639  3 Dy 2.89-2.91, 2 Na 3.01, 1 La 3.02
Se3 0.5000 0.2596 0.2639  3 Dy 2.88-2.93, 1 Na 2.98, 2 La 3.03
Se4 0.5000 0.7404 0.7361  3 Dy 2.88-2.93, 1 Na 2.98, 2 La 3.03
La1 0.0000 0.0000 0.0000  6 Se 3.02-3.03
Na1 0.5000 0.5000 0.0000  6 Se 2.98-3.01
Dy1 0.5000 0.0000 0.5000  6 Se 2.91-2.93
Dy2 0.0000 0.5000 0.5000  6 Se 2.88-2.89